Material: TiZnIr
Method: DFT, GGA-PBE
State: relaxed

The space group is Cmcm (No. 63) and the conventional cell measures 4.229, 8.654 and 5.051 Å, with angles of 90.00, 90.00 and 90.00 degrees. The asymmetric unit holds Ti at (0.000, 0.215, 0.250), Zn at (0.000, 0.500, 0.000) and Ir at (0.000, 0.107, 0.750).

Its total energy is -6.612 eV per atom. For the calculated density, the calculation gives 10.98 g/cm3. For the spin magnetization, the calculation gives 0.00 μB per cell.

---

Material: FeTcMoRu
Method: DFT, GGA-PBE
State: relaxed

The space group is F-43m (No. 216) and the conventional cell measures 6.123, 6.123 and 6.123 Å, with angles of 90.00, 90.00 and 90.00 degrees. The asymmetric unit holds Fe at (0.000, 0.000, 0.000), Tc at (0.250, 0.250, 0.750), Mo at (0.000, 0.000, 0.500) and Ru at (0.250, 0.250, 0.250).

Its total energy is -9.612 eV per atom. For the calculated density, the calculation gives 10.15 g/cm3. For the spin magnetization, the calculation gives 15.36 μB per cell.

---

Material: BaMnN2
Method: DFT, GGA-PBE
State: relaxed

The space group is Cmce (No. 64) and the conventional cell measures 5.832, 11.448 and 7.790 Å, with angles of 90.00, 90.00 and 90.00 degrees. The asymmetric unit holds Ba at (0.000, 0.156, 0.058), Mn at (0.000, 0.049, 0.634), N at (0.000, 0.111, 0.415) and N at (0.250, 0.083, 0.750).

Its total energy is -7.604 eV per atom. The value obtained for the uncorrected formation energy is -0.67 eV per atom. For the calculated density, the calculation gives 5.63 g/cm3. For the spin magnetization, the calculation gives 5.25 μB per cell.

---

Material: Mg2InH
Method: DFT, GGA-PBE
State: relaxed

The space group is I-42d (No. 122) and the conventional cell measures 6.582, 6.582 and 6.838 Å, with angles of 90.00, 90.00 and 90.00 degrees. The asymmetric unit holds Mg at (0.129, 0.250, 0.125), In at (0.000, 0.000, 0.500) and H at (0.000, 0.000, 0.000).

The value obtained for the energy above the most stable polymorph in this dataset is 106 meV/atom. Its total energy is -2.295 eV per atom. For the calculated density, the calculation gives 3.69 g/cm3. For the spin magnetization, the calculation gives 0.00 μB per cell.